Material: YPt2Cl
Method: DFT, PBE-GGA
State: relaxed

Calculated density (Mg/m³): 8.6
Formation energy from raw total energies (eV/atom): -0.809
Total moment (μB per formula unit): 0.00
Excess energy over the best structure of this formula in the dataset (meV/atom): 159.5
D(E_F) (states/eV per cell): 1.829

Cell lengths 3.575, 3.575, 7.805 Å; angles 90.00, 90.00, 90.00 degrees
Element x y z (fractional)
Pt 0.500 0.500 0.229
Pt 0.000 0.000 0.136
Cl 0.500 0.500 0.668
Y 0.000 0.000 0.468



Material: YPtCl2
Method: DFT, PBE-GGA
State: relaxed

Calculated density (Mg/m³): 5.3
Formation energy from raw total energies (eV/atom): -1.085
Total moment (μB per formula unit): 0.92
Excess energy over the best structure of this formula in the dataset (meV/atom): 74.2
D(E_F) (states/eV per cell): 2.457

Cell lengths 7.729, 7.729, 7.729 Å; angles 31.43, 31.43, 31.43 degrees
Last column: magnetic moment on the atom in μB.
Element x y z (fractional)
Cl 0.207 0.207 0.207  0.21
Cl 0.028 0.028 0.028  0.02
Y 0.766 0.766 0.766  0.19
Pt 0.499 0.499 0.499  0.25



Material: Y2PtCl
Method: DFT, PBE-GGA
State: relaxed

Calculated density (Mg/m³): 6.7
Formation energy from raw total energies (eV/atom): -1.185
Total moment (μB per formula unit): 0.00
Excess energy over the best structure of this formula in the dataset (meV/atom): 159.3
D(E_F) (states/eV per cell): 1.828

Cell lengths 7.961, 7.961, 7.961 Å; angles 152.70, 154.07, 38.00 degrees
Element x y z (fractional)
Pt 0.202 0.702 0.500
Y 0.064 0.064 0.000
Y 0.782 0.282 0.500
Cl 0.451 0.451 0.000



Material: Y2PtCl
Method: DFT, PBE-GGA
State: relaxed

Calculated density (Mg/m³): 6.6
Formation energy from raw total energies (eV/atom): -1.344
Total moment (μB per formula unit): 0.00
Excess energy over the best structure of this formula in the dataset (meV/atom): 0.0
D(E_F) (states/eV per cell): 2.958

Cell lengths 4.047, 4.047, 7.665 Å; angles 74.42, 74.42, 59.85 degrees
Element x y z (fractional)
Cl 0.250 0.250 0.250
Pt 0.750 0.750 0.750
Y 0.489 0.489 0.539
Y 0.011 0.011 0.961



Material: YPtCl2
Method: DFT, PBE-GGA
State: relaxed

Calculated density (Mg/m³): 6.9
Formation energy from raw total energies (eV/atom): -0.631
Total moment (μB per formula unit): 0.00
Excess energy over the best structure of this formula in the dataset (meV/atom): 528.1
D(E_F) (states/eV per cell): 2.480

Cell lengths 3.330, 3.331, 7.705 Å; angles 90.00, 90.00, 90.00 degrees
Element x y z (fractional)
Cl 0.000 0.000 0.947
Cl 0.000 0.000 0.553
Pt 0.500 0.500 0.250
Y 0.500 0.500 0.750



Material: YPtCl2
Method: DFT, PBE-GGA
State: relaxed

Calculated density (Mg/m³): 7.2
Formation energy from raw total energies (eV/atom): -0.829
Total moment (μB per formula unit): 0.00
Excess energy over the best structure of this formula in the dataset (meV/atom): 329.6
D(E_F) (states/eV per cell): 4.727

Cell lengths 4.876, 4.876, 4.876 Å; angles 60.00, 60.00, 60.00 degrees
Element x y z (fractional)
Y 0.250 0.250 0.250
Cl 0.750 0.750 0.750
Cl 0.000 0.000 0.000
Pt 0.500 0.500 0.500